# 1
Here is an optimized crystal structure of RbInGaAu from OQMD via LeMat-Bulk. Energies are from PBE.

Cell: 18.3591 4.5153 6.7457 Å, 90.00 100.17 90.00°
With the nearest neighbours (Å) after each atom.
Space group C2/m (No. 12)
Unique sites:
Rb: 0.1156 0.0000 0.3806  2 Au 3.36-3.45
In: 0.0468 0.5000 0.8348  2 Au 2.84, 1 Ga 3.00, 1 In 3.04
Ga: 0.2095 0.5000 0.0031  3 Au 2.63-2.69, 2 Ga 2.71
Au: 0.1422 0.0000 0.8870  3 Ga 2.63-2.69, 2 In 2.84

As for the crystal system: monoclinic.


# 2
Here is an optimized crystal structure of TaAl2N from OQMD via LeMat-Bulk. Energies are from PBE.

Cell: 2.9119 2.9119 14.1733 Å, 90.00 90.00 120.00°
With the nearest neighbours (Å) after each atom.
Space group P6_3/mmc (No. 194)
Unique sites:
Ta: 0.3333 0.6667 0.2500  6 Al 2.89, 6 Ta 2.91
Al: 0.3333 0.6667 0.5842  3 N 2.06
N: 0.0000 0.0000 0.0000  6 Al 2.06

The calculation puts the size of the total moment at 0.00 μB/atom. As for the crystal system: hexagonal.


# 3
Here is an optimized crystal structure of LuNbFeSb from OQMD via LeMat-Bulk. Energies are from PBE.

Cell: 6.6449 6.6449 6.6449 Å, 90.00 90.00 90.00°
With the nearest neighbours (Å) after each atom.
Space group F-43m (No. 216)
Unique sites:
Lu: 0.0000 0.0000 0.0000  4 Nb 2.88, 4 Fe 2.88
Nb: 0.2500 0.2500 0.2500  4 Sb 2.88, 4 Lu 2.88
Fe: 0.2500 0.2500 0.7500  4 Sb 2.88, 4 Lu 2.88
Sb: 0.0000 0.0000 0.5000  4 Nb 2.88, 4 Fe 2.88

The calculation puts the size of the total moment at 0.73 μB/atom. As for the crystal system: cubic. The value obtained for the energy above the lowest structure with this stoichiometry is 0.000 eV/f.u.


no.,VASP energy (eV/atom)
1,-2.677
2,-7.380
3,-6.590